PBE Rb4LaU3O12, relaxed; M_tot = 1.0 μB per formula unit; DFT total energy = -159.84 eV/cell; symmetry = Im-3m (229); mass density = 6.70 g/cm3; formation energy without anion corrections = -2.8840 eV/atom
1.0
-4.4117 4.4117 4.4117
4.4117 -4.4117 4.4117
4.4117 4.4117 -4.4117
Rb La U O
4 1 3 12
Cartesian
2.2059 2.2059 -2.2059 Rb
2.2059 -2.2059 2.2059 Rb
-2.2059 2.2059 2.2059 Rb
2.2059 2.2059 2.2059 Rb
0.0000 0.0000 0.0000 La
4.4117 0.0000 0.0000 U
0.0000 4.4117 0.0000 U
0.0000 0.0000 4.4117 U
2.4011 0.0000 0.0000 O
6.4224 0.0000 0.0000 O
4.4117 2.2059 0.0000 O
4.4117 0.0000 2.2059 O
0.0000 2.4011 0.0000 O
0.0000 0.0000 2.4011 O
2.2059 4.4117 0.0000 O
2.2059 0.0000 4.4117 O
0.0000 6.4224 0.0000 O
0.0000 0.0000 6.4224 O
0.0000 4.4117 2.2059 O
0.0000 2.2059 4.4117 O

***

PBE Rb2LaU3O12, relaxed; M_tot = 0.0 μB per formula unit; DFT total energy = -152.03 eV/cell; symmetry = R-3m (166); mass density = 5.48 g/cm3; formation energy without anion corrections = -2.8783 eV/atom
1.0
4.0893 2.3610 6.3613
-4.0893 2.3610 6.3613
0.0000 -4.7219 6.3613
Rb La U O
2 1 3 12
Cartesian
0.0000 0.0000 2.6567 Rb
0.0000 0.0000 16.4274 Rb
0.0000 0.0000 9.5420 La
-2.0447 -1.1805 6.3613 U
-2.0447 1.1805 12.7227 U
0.0000 2.3610 6.3613 U
-1.8163 -1.0486 8.3214 O
0.0000 -1.7481 6.1765 O
-1.5139 0.8740 6.1765 O
0.0000 -2.0972 10.7627 O
-1.8162 1.0486 10.7627 O
-1.5139 -0.8740 12.9075 O
1.5139 0.8740 6.1765 O
1.8163 -1.0486 8.3214 O
0.0000 2.0972 8.3214 O
1.5139 -0.8740 12.9076 O
0.0000 1.7481 12.9076 O
1.8162 1.0486 10.7626 O

***

PBE Rb3LaU2O9, relaxed; M_tot = 0.0 μB per formula unit; DFT total energy = -117.96 eV/cell; symmetry = P-3m1 (164); mass density = 6.46 g/cm3; formation energy without anion corrections = -2.8621 eV/atom
1.0
6.2619 0.0000 0.0000
-3.1309 5.4229 0.0000
0.0000 0.0000 7.6822
Rb La U O
3 1 2 9
Cartesian
0.0000 0.0000 0.0000 Rb
0.0000 3.6153 5.0961 Rb
3.1309 1.8076 2.5861 Rb
0.0000 0.0000 3.8411 La
0.0000 3.6153 1.2319 U
3.1309 1.8076 6.4503 U
-1.5655 2.7115 0.0000 O
0.0000 1.9470 2.4099 O
-1.4448 4.4494 2.4099 O
1.6862 0.9735 5.2723 O
3.1309 0.0000 0.0000 O
1.5655 2.7115 0.0000 O
1.4448 4.4494 2.4099 O
4.5757 0.9735 5.2723 O
3.1309 3.4759 5.2723 O